Model A:
## BaZr3O (PBE)

Data for crystalline BaZr3O at its relaxed geometry.

Output
For the density, the calculation gives 6.7 Mg/m³. As for the crystal system: cubic. The calculation puts the volume at 106.45 Å³/f.u.

abc: 4.739 4.739 4.739
angles: 90.00 90.00 90.00
Atoms (fractional coordinates):
Zr 0.500 0.000 0.000
Ba 0.500 0.500 0.500
O 0.000 0.000 0.000
Zr 0.000 0.000 0.500
Zr 0.000 0.500 0.000

---

Model B:
## BaZr3O (PBE)

Data for crystalline BaZr3O at its relaxed geometry.

Output
For the density, the calculation gives 4.8 Mg/m³. As for the crystal system: cubic. The calculation puts the volume at 147.66 Å³/f.u.

abc: 5.285 5.285 5.285
angles: 90.00 90.00 90.00
Atoms (fractional coordinates):
O 0.500 0.500 0.500
Zr 0.000 0.500 0.000
Zr 0.500 0.000 0.000
Ba 0.000 0.000 0.000
Zr 0.000 0.000 0.500

---

Stability check: which of them is most stable? model A.

---

Model A:
## Ba5Os (PBE)

Data for crystalline Ba5Os at its relaxed geometry.

Output
For the density, the calculation gives 5.1 Mg/m³. As for the crystal system: tetragonal. The calculation puts the volume at 285.34 Å³/f.u.

abc: 3.993 3.993 17.893
angles: 90.00 90.00 90.00
Atoms (fractional coordinates):
Os 0.500 0.500 0.000
Ba 0.500 0.500 0.695
Ba 0.000 0.000 0.500
Ba 0.000 0.000 0.099
Ba 0.500 0.500 0.305
Ba 0.000 0.000 0.901

---

Model B:
## Ba5Os (PBE)

Data for crystalline Ba5Os at its relaxed geometry.

Output
For the density, the calculation gives 4.9 Mg/m³. As for the crystal system: monoclinic. The calculation puts the volume at 298.89 Å³/f.u.

abc: 7.824 7.824 10.857
angles: 64.89 64.89 30.04
Atoms (fractional coordinates):
Os 0.500 0.500 0.500
Ba 0.500 0.500 0.000
Ba 0.158 0.158 0.244
Ba 0.112 0.112 0.608
Ba 0.888 0.888 0.392
Ba 0.842 0.842 0.756

---

Model C:
## Ba5Os (PBE)

Data for crystalline Ba5Os at its relaxed geometry.

Output
For the density, the calculation gives 4.5 Mg/m³. As for the crystal system: hexagonal. The calculation puts the volume at 324.24 Å³/f.u.

abc: 9.186 9.186 4.437
angles: 90.00 90.00 120.00
Atoms (fractional coordinates):
Ba 0.333 0.667 0.500
Ba 0.766 0.000 0.000
Ba 0.000 0.766 0.000
Os 0.000 0.000 0.500
Ba 0.667 0.333 0.500
Ba 0.234 0.234 0.000

---

Stability check: which of them is most stable? model B.

---

Model A:
## Ba5Os3 (PBE)

Data for crystalline Ba5Os3 at its relaxed geometry.

Output
For the density, the calculation gives 7.5 Mg/m³. As for the crystal system: triclinic. The calculation puts the volume at 277.01 Å³/f.u.

abc: 9.776 10.958 10.040
angles: 103.80 94.61 143.16
Atoms (fractional coordinates):
Os 0.683 0.684 0.007
Ba 0.781 0.726 0.334
Ba 0.346 0.663 0.098
Os 0.407 0.164 0.526
Ba 0.914 0.747 0.743
Os 0.703 0.175 0.108
Ba 0.218 0.274 0.666
Ba 0.653 0.337 0.902
Os 0.592 0.836 0.474
Ba 0.085 0.253 0.257
Os 0.316 0.316 0.993
Ba 0.827 0.277 0.550
Ba 0.172 0.723 0.450
Os 0.296 0.825 0.892
Ba 0.682 0.932 0.811
Ba 0.317 0.068 0.189

---

Model B:
## Ba5Os3 (PBE)

Data for crystalline Ba5Os3 at its relaxed geometry.

Output
For the density, the calculation gives 8.0 Mg/m³. As for the crystal system: hexagonal. The calculation puts the volume at 259.53 Å³/f.u.

abc: 9.313 9.313 6.910
angles: 90.00 90.00 120.00
Atoms (fractional coordinates):
Ba 0.667 0.333 0.500
Os 0.605 0.000 0.250
Ba 0.730 0.000 0.750
Ba 0.667 0.333 0.000
Ba 0.333 0.667 0.000
Ba 0.000 0.270 0.250
Ba 0.270 0.270 0.750
Os 0.000 0.605 0.250
Os 0.000 0.395 0.750
Os 0.395 0.000 0.750
Ba 0.333 0.667 0.500
Ba 0.000 0.730 0.750
Os 0.605 0.605 0.750
Ba 0.730 0.730 0.250
Ba 0.270 0.000 0.250
Os 0.395 0.395 0.250

---

Stability check: which of them is most stable? model A.

---

Model A:
## BaP2Os (PBE)

Data for crystalline BaP2Os at its relaxed geometry.

Output
For the density, the calculation gives 6.7 Mg/m³. As for the crystal system: orthorhombic. The calculation puts the volume at 96.62 Å³/f.u.

abc: 5.307 5.307 5.307
angles: 135.02 105.58 91.38
Atoms (fractional coordinates):
Os 0.250 0.750 0.500
Ba 0.750 0.250 0.500
P 0.095 0.095 0.000
P 0.405 0.405 0.000

---

Model B:
## BaP2Os (PBE)

Data for crystalline BaP2Os at its relaxed geometry.

Output
For the density, the calculation gives 7.9 Mg/m³. As for the crystal system: tetragonal. The calculation puts the volume at 81.42 Å³/f.u.

abc: 5.278 5.278 5.278
angles: 131.21 131.21 71.48
Atoms (fractional coordinates):
Ba 0.500 0.500 0.000
Os 0.750 0.250 0.500
P 0.000 0.000 0.000
P 0.250 0.750 0.500

---

Stability check: which of them is most stable? model A.

---

Model A:
## BaP2Os (PBE)

Data for crystalline BaP2Os at its relaxed geometry.

Output
For the density, the calculation gives 8.1 Mg/m³. As for the crystal system: orthorhombic. The calculation puts the volume at 80.13 Å³/f.u.

abc: 3.170 3.474 7.274
angles: 90.00 90.00 90.00
Atoms (fractional coordinates):
P 0.000 0.000 0.968
Ba 0.000 0.000 0.489
Os 0.500 0.500 0.860
P 0.500 0.500 0.183

---

Model B:
## BaP2Os (PBE)

Data for crystalline BaP2Os at its relaxed geometry.

Output
For the density, the calculation gives 7.4 Mg/m³. As for the crystal system: orthorhombic. The calculation puts the volume at 87.27 Å³/f.u.

abc: 4.055 3.404 6.324
angles: 90.00 90.00 90.00
Atoms (fractional coordinates):
Os 0.500 0.750 0.750
P 0.000 0.750 0.563
P 0.000 0.750 0.937
Ba 0.500 0.250 0.250

---

Stability check: which of them is most stable? model B.

---

Model A:
## BaP2Os (PBE)

Data for crystalline BaP2Os at its relaxed geometry.

Output
For the density, the calculation gives 7.8 Mg/m³. As for the crystal system: trigonal. The calculation puts the volume at 83.02 Å³/f.u.

abc: 4.102 4.102 6.169
angles: 70.59 70.59 60.01
Atoms (fractional coordinates):
P 0.545 0.545 0.364
P 0.955 0.955 0.136
Ba 0.750 0.750 0.750
Os 0.250 0.250 0.250

---

Model B:
## BaP2Os (PBE)

Data for crystalline BaP2Os at its relaxed geometry.

Output
For the density, the calculation gives 6.3 Mg/m³. As for the crystal system: orthorhombic. The calculation puts the volume at 103.23 Å³/f.u.

abc: 4.190 3.932 6.567
angles: 72.57 90.00 90.00
Atoms (fractional coordinates):
Ba 0.000 0.586 0.453
Os 0.500 0.814 0.998
P 0.500 0.219 0.187
P 0.000 0.882 0.862

---

Model C:
## BaP2Os (PBE)

Data for crystalline BaP2Os at its relaxed geometry.

Output
For the density, the calculation gives 7.7 Mg/m³. As for the crystal system: orthorhombic. The calculation puts the volume at 83.55 Å³/f.u.

abc: 7.367 7.367 7.367
angles: 151.63 153.86 38.96
Atoms (fractional coordinates):
Os 0.197 0.697 0.500
P 0.758 0.258 0.500
P 0.093 0.093 0.000
Ba 0.452 0.452 0.000

---

Model D:
## BaP2Os (PBE)

Data for crystalline BaP2Os at its relaxed geometry.

Output
For the density, the calculation gives 8.0 Mg/m³. As for the crystal system: cubic. The calculation puts the volume at 80.49 Å³/f.u.

abc: 4.846 4.846 4.846
angles: 60.00 60.00 60.00
Atoms (fractional coordinates):
P 0.750 0.750 0.750
Os 0.250 0.250 0.250
Ba 0.500 0.500 0.500
P 0.000 0.000 0.000

---

Stability check: which of them is most stable? model A.

---

Model A:
## BaP2Os (PBE)

Data for crystalline BaP2Os at its relaxed geometry.

Output
For the density, the calculation gives 8.4 Mg/m³. As for the crystal system: cubic. The calculation puts the volume at 77.26 Å³/f.u.

abc: 4.781 4.781 4.781
angles: 60.00 60.00 60.00
Atoms (fractional coordinates):
P 0.750 0.750 0.750
Os 0.500 0.500 0.500
P 0.250 0.250 0.250
Ba 0.000 0.000 0.000

---

Model B:
## BaP2Os (PBE)

Data for crystalline BaP2Os at its relaxed geometry.

Output
For the density, the calculation gives 6.8 Mg/m³. As for the crystal system: monoclinic. The calculation puts the volume at 94.59 Å³/f.u.

abc: 5.055 5.055 5.767
angles: 76.63 76.63 41.50
Atoms (fractional coordinates):
Os 0.299 0.299 0.096
P 0.719 0.719 0.910
P 0.970 0.970 0.995
Ba 0.513 0.513 0.499

---

Model C:
## BaP2Os (PBE)

Data for crystalline BaP2Os at its relaxed geometry.

Output
For the density, the calculation gives 5.8 Mg/m³. As for the crystal system: tetragonal. The calculation puts the volume at 111.08 Å³/f.u.

abc: 6.156 6.156 7.302
angles: 65.07 65.07 90.00
Atoms (fractional coordinates):
P 0.375 0.242 0.750
Os 0.750 0.250 0.500
P 0.992 0.625 0.250
P 0.758 0.125 0.250
Ba 0.500 0.500 0.000
Ba 0.250 0.750 0.500
Os 0.000 0.000 0.000
P 0.875 0.008 0.750

---

Stability check: which of them is most stable? model C.

---

Model A:
## Ba2TlPOs (PBE)

Data for crystalline Ba2TlPOs at its relaxed geometry.

Output
For the density, the calculation gives 6.8 Mg/m³. As for the crystal system: tetragonal. The calculation puts the volume at 170.12 Å³/f.u.

abc: 6.221 4.395 6.221
angles: 90.00 90.00 90.00
Atoms (fractional coordinates):
Os 0.000 0.500 0.000
Ba 0.500 0.000 0.000
Tl 0.500 0.500 0.500
Ba 0.000 0.000 0.500
P 0.000 0.000 0.000

---

Model B:
## Ba2TlPOs (PBE)

Data for crystalline Ba2TlPOs at its relaxed geometry.

Output
For the density, the calculation gives 5.7 Mg/m³. As for the crystal system: tetragonal. The calculation puts the volume at 205.63 Å³/f.u.

abc: 6.406 5.011 6.406
angles: 90.00 90.00 90.00
Atoms (fractional coordinates):
Os 0.000 0.500 0.000
P 0.500 0.500 0.500
Ba 0.000 0.000 0.500
Tl 0.000 0.000 0.000
Ba 0.500 0.000 0.000

---

Stability check: which of them is most stable? model A.